Here is a relaxed structure of Pa3Sb4Pd3 from Alexandria via LeMat-Bulk. Energies are from PBE.

Computed properties:
Space-group type = I-43d (220)
ΔE_f (raw) = -0.703 eV/atom
Calculated volume = 466 Å³/cell

Cell lengths 8.457, 8.457, 8.457 Å; angles 109.47, 109.47, 109.47 degrees
Sites, in units of the cell vectors:
Pa 0.625 0.750 0.875
Pa 0.875 0.250 0.625
Pa 0.125 0.375 0.250
Pa 0.375 0.125 0.750
Pa 0.250 0.875 0.125
Pa 0.750 0.625 0.375
Sb 0.000 0.000 0.325
Sb 0.500 0.325 0.500
Sb 0.675 0.175 0.175
Sb 0.000 0.000 0.825
Sb 0.825 0.500 0.000
Sb 0.500 0.825 0.500
Sb 0.325 0.500 0.000
Sb 0.175 0.675 0.675
Pd 0.125 0.750 0.375
Pd 0.375 0.250 0.125
Pd 0.625 0.875 0.250
Pd 0.875 0.625 0.750
Pd 0.250 0.375 0.625
Pd 0.750 0.125 0.875

Here is a relaxed structure of Np2USb from Alexandria via LeMat-Bulk. Energies are from PBE.

Computed properties:
Space-group type = R3m (160)
ΔE_f (raw) = 0.165 eV/atom
Calculated volume = 88 Å³/cell

Cell lengths 3.799, 3.799, 7.373 Å; angles 75.07, 75.07, 60.00 degrees
Sites, in units of the cell vectors:
Np 0.065 0.065 0.806
Np 0.268 0.268 0.196
U 0.669 0.669 0.993
Sb 0.498 0.498 0.505

How do the records compare in total energy? In the order shown, they have -6.76, -10.16 eV per atom.